# 1
{
  "formula": "Ti3CoRu",
  "functional": "meta-GGA SCAN",
  "state": "PBEsol geometry",
  "cell": [[4.3323, 0.0000, 0.0000], [0.0000, 4.3323, 0.0000], [0.0000, 0.0000, 4.3323]],
  "species": ["Ti", "Ti", "Ti", "Co", "Ru"],
  "frac_coords": [[0.0000, 0.0000, 0.5000], [0.0000, 0.5000, 0.0000], [0.5000, 0.0000, 0.0000], [0.0000, 0.0000, 0.0000], [0.5000, 0.5000, 0.5000]],
  "dos_at_fermi_per_ev_cell": 6.61,
  "formation_energy_ev_per_fu": 1.9
}

***

# 2
{
  "formula": "TlCoRu",
  "functional": "meta-GGA SCAN",
  "state": "PBEsol geometry",
  "cell": [[2.8712, 0.0000, 0.0000], [-1.4356, 2.4865, 0.0000], [0.0000, 0.0000, 6.4048]],
  "species": ["Tl", "Co", "Ru"],
  "frac_coords": [[0.0000, 0.0000, 0.0000], [0.3333, 0.6667, 0.6546], [0.6667, 0.3333, 0.3727]],
  "dos_at_fermi_per_ev_cell": 2.47,
  "formation_energy_ev_per_fu": 2.2
}

***

# 3
{
  "formula": "TlCoRu2",
  "functional": "meta-GGA SCAN",
  "state": "PBEsol geometry",
  "cell": [[2.8165, 0.0000, 0.0000], [-1.4083, 2.4392, 0.0000], [0.0000, 0.0000, 25.7885]],
  "species": ["Tl", "Tl", "Tl", "Co", "Co", "Co", "Ru", "Ru", "Ru", "Ru", "Ru", "Ru"],
  "frac_coords": [[0.0000, 0.0000, 0.0000], [0.3333, 0.6667, 0.6667], [0.6667, 0.3333, 0.3333], [0.0000, 0.0000, 0.5000], [0.3333, 0.6667, 0.1667], [0.6667, 0.3333, 0.8333], [0.0000, 0.0000, 0.2409], [0.0000, 0.0000, 0.7591], [0.3333, 0.6667, 0.4258], [0.3333, 0.6667, 0.9075], [0.6667, 0.3333, 0.0925], [0.6667, 0.3333, 0.5742]],
  "polymorph_energy_ev_per_fu": 0.111,
  "dos_at_fermi_per_ev_cell": 10.52,
  "formation_energy_ev_per_fu": 2.7
}

***

# 4
{
  "formula": "TlCoRu2",
  "functional": "meta-GGA SCAN",
  "state": "PBEsol geometry",
  "cell": [[5.3540, 0.0000, 0.0000], [0.0000, 9.1161, 0.0000], [-1.3280, 0.0000, 2.4376]],
  "species": ["Tl", "Tl", "Co", "Co", "Ru", "Ru", "Ru", "Ru"],
  "frac_coords": [[0.0000, 0.0000, 0.0000], [0.5000, 0.5000, 0.0000], [0.0000, 0.5000, 0.0000], [0.5000, 0.0000, 0.0000], [0.2500, 0.2500, 0.5000], [0.2500, 0.7500, 0.5000], [0.7500, 0.2500, 0.5000], [0.7500, 0.7500, 0.5000]],
  "polymorph_energy_ev_per_fu": 0.000,
  "dos_at_fermi_per_ev_cell": 5.48,
  "formation_energy_ev_per_fu": 2.6
}